[1]
Material: AsOsPdO
Method: DFT, PBE-GGA
State: optimized geometry

Computed properties:
Distance to the lowest polymorph of the same formula, eV/atom: 0.043
ρ, g/cm3: 9.64
Electronic total energy, eV/atom: -6.71
SG: Pmc2_1
Spin magnetization, μB/atom: 0.000

```
AsOsPdO
1.0
2.8644 0.0000 0.0000
0.0000 6.3902 0.0000
0.0000 0.0000 7.2983
As Os Pd O
2 2 2 2
direct
0.0000 0.1782 0.0000
0.0000 0.8218 0.5000
0.5000 0.4877 0.0943
0.5000 0.5123 0.5943
0.0000 0.1497 0.6668
0.0000 0.8503 0.1668
0.5000 0.4401 0.3465
0.5000 0.5599 0.8465
```



[2]
Material: ScCoAgAs
Method: DFT, PBE-GGA
State: optimized geometry

Computed properties:
Distance to the lowest polymorph of the same formula, eV/atom: 0.072
ρ, g/cm3: 7.46
Electronic total energy, eV/atom: -5.35
SG: F-43m
Spin magnetization, μB/atom: 0.000

```
ScCoAgAs
1.0
6.3446 0.0000 0.0000
0.0000 6.3446 0.0000
0.0000 0.0000 6.3446
Sc Co Ag As
4 4 4 4
direct
0.0000 0.0000 0.0000
0.0000 0.5000 0.5000
0.5000 0.0000 0.5000
0.5000 0.5000 0.0000
0.2500 0.2500 0.7500
0.2500 0.7500 0.2500
0.7500 0.2500 0.2500
0.7500 0.7500 0.7500
0.2500 0.2500 0.2500
0.2500 0.7500 0.7500
0.7500 0.2500 0.7500
0.7500 0.7500 0.2500
0.0000 0.0000 0.5000
0.0000 0.5000 0.0000
0.5000 0.0000 0.0000
0.5000 0.5000 0.5000
```



[3]
Material: KNaAu
Method: DFT, PBE-GGA
State: optimized geometry

Computed properties:
ρ, g/cm3: 3.97
Electronic total energy, eV/atom: -2.05
SG: F-43m

```
KNaAu
1.0
7.5671 0.0000 0.0000
0.0000 7.5671 0.0000
0.0000 0.0000 7.5671
K Na Au
4 4 4
direct
0.0000 0.0000 0.0000
0.0000 0.5000 0.5000
0.5000 0.0000 0.5000
0.5000 0.5000 0.0000
0.0000 0.0000 0.5000
0.0000 0.5000 0.0000
0.5000 0.0000 0.0000
0.5000 0.5000 0.5000
0.2500 0.2500 0.2500
0.2500 0.7500 0.7500
0.7500 0.2500 0.7500
0.7500 0.7500 0.2500
```